# 1
NaZn2Si2: optimized geometry, PBE-GGA.

Values from the calculation:
**Volume**: 17.26 Å³ per atom
**Calculated density**: 4.04 Mg/m³
**N(E_F)**: 0.286 states/eV per atom
**Formation energy (no corrections)**: 96 kJ/mol of formula units

```
data_NaZn2Si2
_symmetry_space_group_name_H-M 'P 1'
_symmetry_Int_Tables_number 1
_cell_length_a 7.810
_cell_length_b 7.810
_cell_length_c 2.830
_cell_angle_alpha 90.00
_cell_angle_beta 90.00
_cell_angle_gamma 90.00
loop_
_symmetry_equiv_pos_as_xyz
'x,y,z'
loop_
_atom_site_label
_atom_site_fract_x
_atom_site_fract_y
_atom_site_fract_z
Si1 0.160 0.660 0.500
Na1 0.500 0.500 0.000
Zn1 0.635 0.135 0.000
Si2 0.840 0.340 0.500
Zn2 0.135 0.365 0.000
Si3 0.660 0.840 0.500
Zn3 0.365 0.865 0.000
Na2 0.000 0.000 0.000
Zn4 0.865 0.635 0.000
Si4 0.340 0.160 0.500
```

# 2
Na3Zn7Si4: optimized geometry, PBE-GGA.

Values from the calculation:
**Volume**: 17.77 Å³ per atom
**Calculated density**: 4.27 Mg/m³
**N(E_F)**: 0.183 states/eV per atom
**Formation energy (no corrections)**: 34 kJ/mol of formula units

```
data_Na3Zn7Si4
_symmetry_space_group_name_H-M 'P 1'
_symmetry_Int_Tables_number 1
_cell_length_a 4.178
_cell_length_b 8.048
_cell_length_c 8.170
_cell_angle_alpha 72.95
_cell_angle_beta 75.18
_cell_angle_gamma 74.95
loop_
_symmetry_equiv_pos_as_xyz
'x,y,z'
loop_
_atom_site_label
_atom_site_fract_x
_atom_site_fract_y
_atom_site_fract_z
Zn1 0.000 0.000 0.000
Zn2 0.672 0.183 0.474
Na1 0.692 0.809 0.808
Si1 0.339 0.547 0.774
Zn3 0.838 0.403 0.920
Si2 0.878 0.915 0.328
Zn4 0.328 0.817 0.526
Si3 0.661 0.453 0.226
Zn5 0.162 0.597 0.080
Si4 0.122 0.085 0.672
Na2 0.000 0.500 0.500
Na3 0.308 0.191 0.192
Zn6 0.494 0.219 0.793
Zn7 0.506 0.781 0.207
```

# 3
Na3Zn3Si2: optimized geometry, PBE-GGA.

Values from the calculation:
**Volume**: 21.59 Å³ per atom
**Calculated density**: 3.09 Mg/m³
**N(E_F)**: 0.340 states/eV per atom
**Formation energy (no corrections)**: 16 kJ/mol of formula units

```
data_Na3Zn3Si2
_symmetry_space_group_name_H-M 'P 1'
_symmetry_Int_Tables_number 1
_cell_length_a 5.731
_cell_length_b 8.116
_cell_length_c 14.850
_cell_angle_alpha 90.00
_cell_angle_beta 90.00
_cell_angle_gamma 90.00
loop_
_symmetry_equiv_pos_as_xyz
'x,y,z'
loop_
_atom_site_label
_atom_site_fract_x
_atom_site_fract_y
_atom_site_fract_z
Zn1 0.052 0.173 0.250
Zn2 0.132 0.172 0.537
Si1 0.892 0.117 0.399
Si2 0.608 0.617 0.101
Zn3 0.632 0.328 0.037
Na1 0.085 0.185 0.750
Si3 0.108 0.883 0.601
Si4 0.392 0.383 0.899
Na2 0.611 0.033 0.612
Si5 0.608 0.617 0.399
Na3 0.111 0.467 0.112
Zn4 0.368 0.672 0.537
Na4 0.585 0.315 0.250
Zn5 0.948 0.827 0.750
Zn6 0.868 0.828 0.037
Na5 0.389 0.967 0.388
Zn7 0.448 0.673 0.250
Zn8 0.868 0.828 0.463
Zn9 0.552 0.327 0.750
Zn10 0.132 0.172 0.963
Zn11 0.632 0.328 0.463
Na6 0.111 0.467 0.388
Na7 0.915 0.815 0.250
Na8 0.415 0.685 0.750
Si6 0.892 0.117 0.101
Na9 0.889 0.533 0.888
Na10 0.389 0.967 0.112
Na11 0.611 0.033 0.888
Si7 0.392 0.383 0.601
Na12 0.889 0.533 0.612
Zn12 0.368 0.672 0.963
Si8 0.108 0.883 0.899
```

# 4
NaZn3Si3: optimized geometry, PBE-GGA.

Values from the calculation:
**Volume**: 22.94 Å³ per atom
**Calculated density**: 3.14 Mg/m³
**N(E_F)**: 0.673 states/eV per atom
**Formation energy (no corrections)**: 261 kJ/mol of formula units

```
data_NaZn3Si3
_symmetry_space_group_name_H-M 'P 1'
_symmetry_Int_Tables_number 1
_cell_length_a 6.848
_cell_length_b 6.848
_cell_length_c 6.848
_cell_angle_alpha 90.00
_cell_angle_beta 90.00
_cell_angle_gamma 90.00
loop_
_symmetry_equiv_pos_as_xyz
'x,y,z'
loop_
_atom_site_label
_atom_site_fract_x
_atom_site_fract_y
_atom_site_fract_z
Zn1 0.750 0.500 0.000
Na1 0.000 0.000 0.000
Zn2 0.000 0.250 0.500
Si1 0.500 0.250 0.000
Zn3 0.500 0.000 0.250
Zn4 0.000 0.750 0.500
Zn5 0.250 0.500 0.000
Si2 0.000 0.500 0.750
Si3 0.500 0.750 0.000
Na2 0.500 0.500 0.500
Si4 0.250 0.000 0.500
Zn6 0.500 0.000 0.750
Si5 0.000 0.500 0.250
Si6 0.750 0.000 0.500
```

# 5
NaZnSi2: optimized geometry, PBE-GGA.

Values from the calculation:
**Volume**: 23.76 Å³ per atom
**Calculated density**: 2.53 Mg/m³
**N(E_F)**: 0.402 states/eV per atom
**Formation energy (no corrections)**: 126 kJ/mol of formula units

```
data_NaZnSi2
_symmetry_space_group_name_H-M 'P 1'
_symmetry_Int_Tables_number 1
_cell_length_a 4.722
_cell_length_b 4.722
_cell_length_c 9.157
_cell_angle_alpha 75.06
_cell_angle_beta 75.06
_cell_angle_gamma 90.00
loop_
_symmetry_equiv_pos_as_xyz
'x,y,z'
loop_
_atom_site_label
_atom_site_fract_x
_atom_site_fract_y
_atom_site_fract_z
Si1 0.875 0.075 0.750
Na1 0.500 0.500 0.000
Si2 0.375 0.175 0.750
Zn1 0.750 0.250 0.500
Si3 0.825 0.125 0.250
Zn2 0.000 0.000 0.000
Na2 0.250 0.750 0.500
Si4 0.925 0.625 0.250
```

# 6
NaZnSi: optimized geometry, PBE-GGA.

Values from the calculation:
**Volume**: 19.24 Å³ per atom
**Calculated density**: 3.35 Mg/m³
**N(E_F)**: 0.130 states/eV per atom
**Formation energy (no corrections)**: 17 kJ/mol of formula units

```
data_NaZnSi
_symmetry_space_group_name_H-M 'P 1'
_symmetry_Int_Tables_number 1
_cell_length_a 3.498
_cell_length_b 4.365
_cell_length_c 4.365
_cell_angle_alpha 120.00
_cell_angle_beta 90.00
_cell_angle_gamma 90.00
loop_
_symmetry_equiv_pos_as_xyz
'x,y,z'
loop_
_atom_site_label
_atom_site_fract_x
_atom_site_fract_y
_atom_site_fract_z
Na1 0.667 0.333 0.667
Zn1 0.167 0.667 0.333
Si1 0.167 0.000 0.000
```